(1)
Below is a relaxed Er5Bi2Ru2 crystal, with properties calculated at the GGA-PBE level. Values from VASP.

Structure (Quantum ESPRESSO input):
```
&SYSTEM
  ibrav = 0, nat = 18, ntyp = 3
/
ATOMIC_SPECIES
Er 167.26 Er.upf
Bi 208.98 Bi.upf
Ru 101.07 Ru.upf
CELL_PARAMETERS angstrom
8.368 0.000 0.000
0.000 6.841 0.000
-4.184 -3.421 8.459
ATOMIC_POSITIONS crystal
Er 0.040 0.789 0.500
Er 0.835 0.215 0.077
Er 0.960 0.289 0.500
Er 0.741 0.715 0.077
Er 0.752 0.795 0.703
Er 0.451 0.295 0.703
Er 0.549 0.592 0.297
Er 0.259 0.638 0.923
Er 0.165 0.138 0.923
Er 0.248 0.092 0.297
Bi 0.851 0.372 0.783
Bi 0.149 0.588 0.217
Bi 0.433 0.872 0.783
Bi 0.567 0.088 0.217
Ru 0.500 0.369 0.000
Ru 0.764 0.978 0.500
Ru 0.236 0.478 0.500
Ru 0.000 0.869 0.000
```

## Properties
Total moment, μB/f.u.: 0.0
E_form, eV/atom: -0.3629
V, Å³/atom: 26.90
Space group: No. 46
Final energy, eV/atom: -5.82

***

(2)
Below is a relaxed Er2BiRu crystal, with properties calculated at the GGA-PBE level. Values from VASP.

Structure (Quantum ESPRESSO input):
```
&SYSTEM
  ibrav = 0, nat = 4, ntyp = 3
/
ATOMIC_SPECIES
Er 167.26 Er.upf
Bi 208.98 Bi.upf
Ru 101.07 Ru.upf
CELL_PARAMETERS angstrom
3.411 0.000 0.000
0.000 3.411 0.000
0.000 0.000 8.307
ATOMIC_POSITIONS crystal
Er 0.000 0.000 0.803
Er 0.000 0.000 0.197
Bi 0.500 0.500 0.500
Ru 0.500 0.500 0.000
```

## Properties
Total moment, μB/f.u.: 0.0
E_form, eV/atom: -0.5609
V, Å³/atom: 24.16
Space group: No. 123
Final energy, eV/atom: -6.13

***

(3)
Below is a relaxed Er2BiRu crystal, with properties calculated at the GGA-PBE level. Values from VASP.

Structure (Quantum ESPRESSO input):
```
&SYSTEM
  ibrav = 0, nat = 4, ntyp = 3
/
ATOMIC_SPECIES
Er 167.26 Er.upf
Ru 101.07 Ru.upf
Bi 208.98 Bi.upf
CELL_PARAMETERS angstrom
3.622 0.000 0.000
1.811 3.137 0.000
1.811 1.046 8.928
ATOMIC_POSITIONS crystal
Er 0.735 0.735 0.796
Er 0.265 0.265 0.204
Ru 0.000 0.000 0.000
Bi 0.500 0.500 0.500
```

## Properties
Total moment, μB/f.u.: 0.0
E_form, eV/atom: -0.3241
V, Å³/atom: 25.36
Space group: No. 166
Final energy, eV/atom: -5.89

***

(4)
Below is a relaxed Er8BiRu2 crystal, with properties calculated at the GGA-PBE level. Values from VASP.

Structure (Quantum ESPRESSO input):
```
&SYSTEM
  ibrav = 0, nat = 11, ntyp = 3
/
ATOMIC_SPECIES
Er 167.26 Er.upf
Bi 208.98 Bi.upf
Ru 101.07 Ru.upf
CELL_PARAMETERS angstrom
-2.482 -2.279 -4.395
4.157 -6.240 2.151
-6.397 1.027 4.343
ATOMIC_POSITIONS crystal
Er 0.500 0.751 0.249
Er 0.707 0.393 0.393
Er 0.085 0.335 0.069
Er 0.500 0.249 0.751
Er 0.293 0.607 0.607
Er 0.915 0.665 0.931
Er 0.915 0.931 0.665
Er 0.085 0.069 0.335
Bi 0.500 0.000 0.000
Ru 0.000 0.688 0.312
Ru 0.000 0.312 0.688
```

## Properties
Total moment, μB/f.u.: 0.0
E_form, eV/atom: -0.3231
V, Å³/atom: 27.45
Space group: No. 12
Final energy, eV/atom: -5.68